# 1
VASP calculation (PBE-GGA) on an optimized crystal structure of TeMo2W.

Calculated values
Density, g/cm3: 11.86
DOS at the Fermi energy, states/eV/cell: 2.83
Final energy, eV per atom: -8.964
Uncorrected formation energy, kJ/mol of atoms: 45.9
Magnetic moment, μB per formula unit: 0.000

Structure (CIF):
```
data_TeMo2W
_cell_length_a 3.114
_cell_length_b 4.200
_cell_length_c 5.387
_cell_angle_alpha 90.00
_cell_angle_beta 90.00
_cell_angle_gamma 90.00
_symmetry_space_group_name_H-M 'P m m m'
_symmetry_Int_Tables_number 47
loop_
_symmetry_equiv_pos_as_xyz
'x,y,z'
'-x,-y,-z'
'-x,-y,z'
'x,y,-z'
'x,-y,-z'
'-x,y,z'
'-x,y,-z'
'x,-y,z'
loop_
_atom_site_label
_atom_site_fract_x
_atom_site_fract_y
_atom_site_fract_z
Te1 0.000 0.000 0.000
Mo1 0.500 0.500 0.274
W1 0.000 0.000 0.500
```

***

# 2
VASP calculation (PBE-GGA) on an optimized crystal structure of LaSe2IN.

Calculated values
Density, g/cm3: 4.67
Offset from the most stable computed form, eV/atom: 0.092
DOS at the Fermi energy, states/eV/cell: 7.24
Final energy, eV per atom: -4.072
Uncorrected formation energy, kJ/mol of atoms: 27.3
Magnetic moment, μB per formula unit: 1.659

Structure (CIF):
```
data_LaSe2IN
_cell_length_a 6.044
_cell_length_b 6.044
_cell_length_c 4.260
_cell_angle_alpha 90.00
_cell_angle_beta 90.00
_cell_angle_gamma 90.00
_symmetry_space_group_name_H-M 'P 4/m m m'
_symmetry_Int_Tables_number 123
_symmetry_space_group_name_Hall '-P 4 2'
loop_
_atom_site_label
_atom_site_fract_x
_atom_site_fract_y
_atom_site_fract_z
La1 0.000 0.000 0.000
Se1 0.000 0.500 0.000
I1 0.500 0.500 0.500
N1 0.000 0.000 0.500
```